[1]
## ZnMoIrW (GGA-PBE)

Data for a relaxed ZnMoIrW crystal.

Values from the calculation:
Density of states at the Fermi level, states/eV/cell: 2.98
Magnetic moment, μB/cell: 0.0
Uncorrected energy, eV/f.u.: -33.8
Symmetry: F-43m, No. 216

Lattice parameters (Å, degrees): 4.412 4.412 4.412 60.00 60.00 60.00
Sites, in units of the cell vectors:
Mo: 0.500 0.500 0.500
Ir: 0.000 0.000 0.000
Zn: 0.750 0.750 0.750
W: 0.250 0.250 0.250

=====

[2]
## ZnH3Au (GGA-PBE)

Data for a relaxed ZnH3Au crystal.

Values from the calculation:
Density of states at the Fermi level, states/eV/cell: 1.29
ΔE to the lowest computed polymorph, meV per atom: 0.0
Magnetic moment, μB/cell: 0.0
Symmetry: Pm-3m, No. 221

Lattice parameters (Å, degrees): 3.739 3.739 3.739 90.00 90.00 90.00
Sites, in units of the cell vectors:
H: 0.000 0.500 0.000
H: 0.000 0.000 0.500
H: 0.500 0.000 0.000
Zn: 0.500 0.500 0.500
Au: 0.000 0.000 0.000

=====

[3]
## Ti10O13 (GGA-PBE)

Data for a relaxed Ti10O13 crystal.

Values from the calculation:
Density of states at the Fermi level, states/eV/cell: 8.79
Magnetic moment, μB/cell: 0.0
Uncorrected formation energy, eV per atom: -2.739
Symmetry: C2/m, No. 12

Lattice parameters (Å, degrees): 5.099 5.099 12.138 86.13 86.13 48.14
Sites, in units of the cell vectors:
Ti: 0.832 0.832 0.540
Ti: 0.551 0.551 0.624
Ti: 0.449 0.449 0.376
Ti: 0.168 0.168 0.460
Ti: 0.382 0.382 0.154
Ti: 0.066 0.066 0.231
Ti: 0.307 0.307 0.929
Ti: 0.693 0.693 0.071
Ti: 0.934 0.934 0.769
Ti: 0.618 0.618 0.846
O: 0.037 0.037 0.611
O: 0.738 0.738 0.696
O: 0.357 0.357 0.541
O: 0.963 0.963 0.389
O: 0.643 0.643 0.459
O: 0.262 0.262 0.304
O: 0.880 0.880 0.153
O: 0.579 0.579 0.227
O: 0.816 0.816 0.921
O: 0.500 0.500 0.000
O: 0.184 0.184 0.079
O: 0.421 0.421 0.773
O: 0.120 0.120 0.847

=====

[4]
## KIr3Ru (GGA-PBE)

Data for a relaxed KIr3Ru crystal.

Values from the calculation:
Density of states at the Fermi level, states/eV/cell: 12.48
ΔE to the lowest computed polymorph, meV per atom: 2006.9
Magnetic moment, μB/cell: 0.0
Symmetry: Pm-3m, No. 221

Lattice parameters (Å, degrees): 4.571 4.571 4.571 90.00 90.00 90.00
Sites, in units of the cell vectors:
Ru: 0.500 0.500 0.500
K: 0.000 0.000 0.000
Ir: 0.000 0.500 0.000
Ir: 0.000 0.000 0.500
Ir: 0.500 0.000 0.000

=====

[5]
## Nb2GaCuPd (GGA-PBE)

Data for a relaxed Nb2GaCuPd crystal.

Values from the calculation:
Density of states at the Fermi level, states/eV/cell: 5.31
Magnetic moment, μB/cell: 0.0
Uncorrected energy, eV/f.u.: -27.1
Symmetry: P4/mmm, No. 123

Lattice parameters (Å, degrees): 4.833 4.599 4.833 90.00 90.00 90.00
Sites, in units of the cell vectors:
Nb: 0.000 0.000 0.500
Nb: 0.500 0.000 0.000
Cu: 0.000 0.500 0.000
Ga: 0.500 0.500 0.500
Pd: 0.000 0.000 0.000

=====

[6]
## FeNi2Pb (GGA-PBE)

Data for a relaxed FeNi2Pb crystal.

Values from the calculation:
Density of states at the Fermi level, states/eV/cell: 3.15
Magnetic moment, μB/cell: 3.8
Uncorrected energy, eV/f.u.: -22.4
Symmetry: P4mm, No. 99

Lattice parameters (Å, degrees): 3.174 3.174 5.992 90.00 90.00 90.00
Site moments in Bohr magnetons follow the coordinates.
Sites, in units of the cell vectors:
Fe: 0.500 0.500 0.814  2.86
Ni: 0.000 0.000 0.991  0.66
Ni: 0.500 0.500 0.210  0.26
Pb: 0.000 0.000 0.485  -0.01

=====

[7]
## Pm3YHo5 (GGA-PBE)

Data for a relaxed Pm3YHo5 crystal.

Values from the calculation:
Density of states at the Fermi level, states/eV/cell: 21.51
ΔE to the lowest computed polymorph, meV per atom: 0.0
Magnetic moment, μB/cell: 0.0
Symmetry: I4/mcm, No. 140

Lattice parameters (Å, degrees): 8.717 8.717 9.880 116.18 116.18 90.00
Sites, in units of the cell vectors:
Pm: 0.616 0.116 0.000
Pm: 0.384 0.884 0.000
Pm: 0.884 0.616 0.000
Pm: 0.116 0.384 0.000
Pm: 0.250 0.250 0.500
Pm: 0.750 0.750 0.500
Y: 0.750 0.250 0.500
Y: 0.250 0.750 0.500
Ho: 0.073 0.573 0.725
Ho: 0.652 0.152 0.725
Ho: 0.152 0.073 0.725
Ho: 0.573 0.652 0.725
Ho: 0.927 0.427 0.275
Ho: 0.348 0.848 0.275
Ho: 0.848 0.927 0.275
Ho: 0.427 0.348 0.275
Ho: 0.500 0.500 0.000
Ho: 0.000 0.000 0.000

=====

[8]
## Ac2Zn3Sn4Hg (GGA-PBE)

Data for a relaxed Ac2Zn3Sn4Hg crystal.

Values from the calculation:
Density of states at the Fermi level, states/eV/cell: 2.58
Magnetic moment, μB/cell: 0.0
Uncorrected energy, eV/f.u.: -32.0
Symmetry: P-4m2, No. 115

Lattice parameters (Å, degrees): 4.946 4.946 10.658 90.00 90.00 90.00
Sites, in units of the cell vectors:
Ac: 0.500 0.000 0.252
Ac: 0.000 0.500 0.748
Zn: 0.000 0.000 0.500
Zn: 0.500 0.000 0.881
Zn: 0.000 0.500 0.119
Sn: 0.500 0.500 0.000
Sn: 0.000 0.000 0.000
Sn: 0.500 0.000 0.636
Sn: 0.000 0.500 0.364
Hg: 0.500 0.500 0.500

=====

[9]
## Hg3MoP (GGA-PBE)

Data for a relaxed Hg3MoP crystal.

Values from the calculation:
Density of states at the Fermi level, states/eV/cell: 2.12
ΔE to the lowest computed polymorph, meV per atom: 0.0
Magnetic moment, μB/cell: 4.8
Symmetry: Pm-3m, No. 221

Lattice parameters (Å, degrees): 5.115 5.115 5.115 90.00 90.00 90.00
Site moments in Bohr magnetons follow the coordinates.
Sites, in units of the cell vectors:
P: 0.000 0.000 0.000  0.05
Mo: 0.500 0.500 0.500  3.77
Hg: 0.000 0.500 0.000  0.01
Hg: 0.000 0.000 0.500  0.04
Hg: 0.500 0.000 0.000  0.02

=====

[10]
## ZrTi2S6 (GGA-PBE)

Data for a relaxed ZrTi2S6 crystal.

Values from the calculation:
Magnetic moment, μB/cell: 0.0
Uncorrected formation energy, eV per atom: -1.146
Symmetry: C2/m, No. 12

Lattice parameters (Å, degrees): 4.678 6.525 7.331 70.70 71.40 69.00
Sites, in units of the cell vectors:
Zr: 0.000 0.500 0.500
Ti: 0.180 0.735 0.906
Ti: 0.820 0.265 0.094
S: 0.746 0.649 0.858
S: 0.254 0.351 0.142
S: 0.965 0.860 0.210
S: 0.365 0.694 0.576
S: 0.035 0.140 0.790
S: 0.635 0.306 0.424

=====

[11]
## KGaI3 (GGA-PBE)

Data for a relaxed KGaI3 crystal.

Values from the calculation:
Density of states at the Fermi level, states/eV/cell: 1.31
ΔE to the lowest computed polymorph, meV per atom: 148.3
Magnetic moment, μB/cell: 0.0
Uncorrected formation energy, eV per atom: -0.766
Symmetry: Pm-3m, No. 221

Lattice parameters (Å, degrees): 5.855 5.855 5.855 90.00 90.00 90.00
Sites, in units of the cell vectors:
I: 0.000 0.500 0.000
I: 0.000 0.000 0.500
I: 0.500 0.000 0.000
K: 0.500 0.500 0.500
Ga: 0.000 0.000 0.000

=====

[12]
## Sr3AsPb (GGA-PBE)

Data for a relaxed Sr3AsPb crystal.

Values from the calculation:
Density of states at the Fermi level, states/eV/cell: 6.67
ΔE to the lowest computed polymorph, meV per atom: 0.0
Magnetic moment, μB/cell: 0.0
Symmetry: Pm-3m, No. 221

Lattice parameters (Å, degrees): 5.921 5.921 5.921 90.00 90.00 90.00
Sites, in units of the cell vectors:
Pb: 0.500 0.500 0.500
Sr: 0.000 0.500 0.000
Sr: 0.000 0.000 0.500
Sr: 0.500 0.000 0.000
As: 0.000 0.000 0.000

=====

[13]
## ScAs2F (GGA-PBE)

Data for a relaxed ScAs2F crystal.

Values from the calculation:
Density of states at the Fermi level, states/eV/cell: 2.38
ΔE to the lowest computed polymorph, meV per atom: 468.0
Magnetic moment, μB/cell: 0.0
Uncorrected formation energy, eV per atom: -0.658
Symmetry: Fm-3m, No. 225

Lattice parameters (Å, degrees): 4.614 4.614 4.614 60.00 60.00 60.00
Sites, in units of the cell vectors:
Sc: 0.500 0.500 0.500
As: 0.250 0.250 0.250
As: 0.750 0.750 0.750
F: 0.000 0.000 0.000

=====

[14]
## TaCd (GGA-PBE)

Data for a relaxed TaCd crystal.

Values from the calculation:
Density of states at the Fermi level, states/eV/cell: 5.15
Magnetic moment, μB/cell: 0.0
Uncorrected energy, eV/f.u.: -12.2
Symmetry: R-3m, No. 166

Lattice parameters (Å, degrees): 10.509 10.509 10.509 16.21 16.21 16.21
Sites, in units of the cell vectors:
Cd: 0.002 0.002 0.002
Cd: 0.248 0.248 0.248
Ta: 0.499 0.499 0.499
Ta: 0.751 0.751 0.751

=====

[15]
## TlHg4Pb (GGA-PBE)

Data for a relaxed TlHg4Pb crystal.

Values from the calculation:
Density of states at the Fermi level, states/eV/cell: 2.48
ΔE to the lowest computed polymorph, meV per atom: 31.9
Magnetic moment, μB/cell: 0.0
Symmetry: F-43m, No. 216

Lattice parameters (Å, degrees): 6.178 6.178 6.178 60.00 60.00 60.00
Sites, in units of the cell vectors:
Hg: 0.125 0.625 0.625
Hg: 0.625 0.625 0.625
Hg: 0.625 0.125 0.625
Hg: 0.625 0.625 0.125
Pb: 0.250 0.250 0.250
Tl: 0.000 0.000 0.000

=====

[16]
## LaInH2I (GGA-PBE)

Data for a relaxed LaInH2I crystal.

Values from the calculation:
Density of states at the Fermi level, states/eV/cell: 4.69
Magnetic moment, μB/cell: 1.0
Uncorrected energy, eV/f.u.: -13.4
Symmetry: P4/mmm, No. 123

Lattice parameters (Å, degrees): 4.467 6.637 4.467 90.00 90.00 90.00
Site moments in Bohr magnetons follow the coordinates.
Sites, in units of the cell vectors:
I: 0.000 0.000 0.000  0.00
H: 0.000 0.000 0.500  0.00
H: 0.500 0.000 0.000  0.00
In: 0.500 0.500 0.500  0.17
La: 0.000 0.500 0.000  0.27

=====

[17]
## Nd4GaPCl2 (GGA-PBE)

Data for a relaxed Nd4GaPCl2 crystal.

Values from the calculation:
Density of states at the Fermi level, states/eV/cell: 4.85
Magnetic moment, μB/cell: 0.0
Uncorrected formation energy, eV per atom: -1.305
Symmetry: P2/m, No. 10

Lattice parameters (Å, degrees): 4.212 7.348 7.285 70.40 90.00 90.00
Sites, in units of the cell vectors:
Nd: 0.000 0.731 0.751
Nd: 0.000 0.269 0.249
Nd: 0.500 0.723 0.264
Nd: 0.500 0.277 0.736
Ga: 0.500 0.500 0.000
P: 0.000 0.500 0.500
Cl: 0.000 0.000 0.000
Cl: 0.500 0.000 0.500

=====

[18]
## ZrTa2Pt (GGA-PBE)

Data for a relaxed ZrTa2Pt crystal.

Values from the calculation:
Density of states at the Fermi level, states/eV/cell: 3.75
Magnetic moment, μB/cell: 0.0
Uncorrected energy, eV/f.u.: -38.7
Symmetry: Cmmm, No. 65

Lattice parameters (Å, degrees): 5.319 5.319 2.866 90.00 90.00 114.74
Sites, in units of the cell vectors:
Pt: 0.000 0.500 0.500
Ta: 0.000 0.000 0.000
Ta: 0.500 0.500 0.000
Zr: 0.500 0.000 0.500

=====

[19]
## AsP4Au (GGA-PBE)

Data for a relaxed AsP4Au crystal.

Values from the calculation:
Density of states at the Fermi level, states/eV/cell: 3.48
Magnetic moment, μB/cell: 0.0
Uncorrected energy, eV/f.u.: -25.2
Symmetry: F-43m, No. 216

Lattice parameters (Å, degrees): 5.510 5.510 5.510 60.00 60.00 60.00
Sites, in units of the cell vectors:
As: 0.750 0.750 0.750
P: 0.944 0.352 0.352
P: 0.352 0.352 0.944
P: 0.352 0.944 0.352
P: 0.352 0.352 0.352
Au: 0.000 0.000 0.000

=====

[20]
## Rb2CuTe2O6 (GGA-PBE)

Data for a relaxed Rb2CuTe2O6 crystal.

Values from the calculation:
Magnetic moment, μB/cell: 1.0
Uncorrected formation energy, eV per atom: -1.126
Symmetry: C2/m, No. 12

Lattice parameters (Å, degrees): 5.538 7.220 8.335 125.03 90.00 112.55
Site moments in Bohr magnetons follow the coordinates.
Sites, in units of the cell vectors:
Rb: 0.708 0.416 0.292  0.00
Rb: 0.292 0.584 0.708  0.00
Cu: 0.500 0.000 0.500  0.55
Te: 0.073 0.147 0.836  0.02
Te: 0.927 0.853 0.164  0.02
O: 0.898 0.795 0.709  0.02
O: 0.162 0.802 0.282  0.07
O: 0.360 0.198 0.718  0.07
O: 0.838 0.198 0.718  0.07
O: 0.640 0.802 0.282  0.07
O: 0.102 0.205 0.291  0.02